Record 1
Density functional theory data (PBE) for GaSn2Hg after structural relaxation.

Lattice parameters (Å, degrees): 3.9611 5.0119 5.0119 90.00 90.00 90.00
Last column: nearest neighbours and their distance in Å.
Element x y z (fractional)
Ga 0.5000 0.0000 0.0000  8 Sn 3.19, 4 Hg 3.54
Sn 0.0000 0.5000 0.0000  4 Ga 3.19, 4 Hg 3.19, 4 Sn 3.54
Hg 0.5000 0.5000 0.5000  8 Sn 3.19, 4 Ga 3.54
Sn 0.0000 0.0000 0.5000  4 Hg 3.19, 4 Ga 3.19, 4 Sn 3.54

Values from the calculation:
* magnetization: 0.00 μB per formula unit
* electronic total energy: -2.768 eV per atom
* SG: No. 123
* DOS(E_F): 0.3300 states/eV/atom

Record 2
Density functional theory data (PBE) for GaSnHg4 after structural relaxation.

Lattice parameters (Å, degrees): 6.0555 6.0555 6.0555 60.00 60.00 60.00
Last column: nearest neighbours and their distance in Å.
Element x y z (fractional)
Ga 0.2500 0.2500 0.2500  12 Hg 3.55, 4 Sn 3.71
Sn 0.0000 0.0000 0.0000  12 Hg 3.55, 4 Ga 3.71
Hg 0.6248 0.6248 0.6248  6 Hg 3.02-3.03
Hg 0.1255 0.6248 0.6248  6 Hg 3.02-3.03
Hg 0.6248 0.6248 0.1255  6 Hg 3.02-3.03
Hg 0.6248 0.1255 0.6248  6 Hg 3.02-3.03

Values from the calculation:
* magnetization: 0.00 μB per formula unit
* electronic total energy: -1.190 eV per atom
* SG: No. 216
* DOS(E_F): 0.2702 states/eV/atom

Record 3
Density functional theory data (PBE) for Ga2Sn2Hg after structural relaxation.

Lattice parameters (Å, degrees): 8.0524 8.0524 3.7242 90.00 90.00 90.00
Last column: nearest neighbours and their distance in Å.
Element x y z (fractional)
Sn 0.1692 0.6692 0.5000  6 Ga 2.96-3.06
Ga 0.3709 0.8709 0.0000  1 Ga 2.94, 6 Sn 2.96-3.06, 2 Hg 3.16
Sn 0.6692 0.8308 0.5000  6 Ga 2.96-3.06
Hg 0.5000 0.5000 0.0000  4 Ga 3.16, 8 Sn 3.52
Hg 0.0000 0.0000 0.0000  4 Ga 3.16, 8 Sn 3.52
Sn 0.3308 0.1692 0.5000  6 Ga 2.96-3.06
Sn 0.8308 0.3308 0.5000  6 Ga 2.96-3.06
Ga 0.8709 0.6291 0.0000  1 Ga 2.94, 6 Sn 2.96-3.06, 2 Hg 3.16
Ga 0.6291 0.1291 0.0000  1 Ga 2.94, 6 Sn 2.96-3.06, 2 Hg 3.16
Ga 0.1291 0.3709 0.0000  1 Ga 2.94, 6 Sn 2.96-3.06, 2 Hg 3.16

Values from the calculation:
* magnetization: 0.00 μB per formula unit
* electronic total energy: -2.773 eV per atom
* SG: No. 127
* DOS(E_F): 0.6371 states/eV/atom

Record 4
Density functional theory data (PBE) for GaSn3Hg2 after structural relaxation.

Lattice parameters (Å, degrees): 5.7604 5.8181 10.8767 94.05 92.08 59.69
Last column: nearest neighbours and their distance in Å.
Element x y z (fractional)
Hg 0.3361 0.3319 0.4999  2 Sn 3.06, 6 Hg 3.30-3.36
Sn 0.6674 0.4419 0.2375  1 Ga 2.97, 1 Hg 3.06, 3 Sn 3.31-3.32
Hg 0.0000 0.0000 0.5000  2 Sn 3.05, 6 Hg 3.30-3.36
Hg 0.6639 0.6681 0.5001  2 Sn 3.06, 6 Hg 3.30-3.36
Sn 0.3326 0.5581 0.7625  1 Ga 2.97, 1 Hg 3.06, 3 Sn 3.31-3.32
Ga 0.3408 0.3305 0.0001  2 Sn 2.97, 1 Hg 3.28, 2 Ga 3.30-3.32
Sn 0.0009 0.7698 0.2394  2 Hg 3.01-3.05, 4 Sn 3.31-3.32
Hg 0.0000 0.0000 0.0000  2 Sn 3.01, 6 Ga 3.28-3.37
Sn 0.3349 0.1082 0.2373  1 Ga 2.97, 1 Hg 3.06, 3 Sn 3.31-3.32
Ga 0.6592 0.6695 0.9999  2 Sn 2.97, 1 Hg 3.28, 2 Ga 3.30-3.32
Sn 0.9991 0.2302 0.7606  2 Hg 3.01-3.05, 4 Sn 3.31-3.32
Sn 0.6651 0.8918 0.7627  1 Ga 2.97, 1 Hg 3.06, 3 Sn 3.31-3.32

Values from the calculation:
* magnetization: 0.00 μB per formula unit
* electronic total energy: -2.557 eV per atom
* SG: No. 2
* DOS(E_F): 0.2845 states/eV/atom

Record 5
Density functional theory data (PBE) for Ga6Sn12Hg after structural relaxation.

Lattice parameters (Å, degrees): 8.5546 8.5546 8.5546 109.47 109.47 109.47
Last column: nearest neighbours and their distance in Å.
Element x y z (fractional)
Sn 0.7469 0.9622 0.2153  2 Ga 2.87-3.06
Ga 0.6314 0.5000 0.1314  1 Ga 2.60, 2 Sn 2.87
Sn 0.9622 0.2153 0.7469  2 Ga 2.87-3.06
Sn 0.2153 0.7469 0.9622  2 Ga 2.87-3.06
Sn 0.0378 0.7847 0.2531  2 Ga 2.87-3.06
Ga 0.5000 0.1314 0.6314  1 Ga 2.60, 2 Sn 2.87
Sn 0.4684 0.2153 0.2531  2 Ga 2.87-3.06
Sn 0.2531 0.0378 0.7847  2 Ga 2.87-3.06
Sn 0.7847 0.2531 0.0378  2 Ga 2.87-3.06
Ga 0.3686 0.5000 0.8686  1 Ga 2.60, 2 Sn 2.87
Sn 0.7847 0.7469 0.5316  2 Ga 2.87-3.06
Ga 0.1314 0.6314 0.5000  1 Ga 2.60, 2 Sn 2.87
Sn 0.7469 0.5316 0.7847  2 Ga 2.87-3.06
Sn 0.5316 0.7847 0.7469  2 Ga 2.87-3.06
Hg 0.0000 0.0000 0.0000  12 Sn 3.28
Sn 0.2531 0.4684 0.2153  2 Ga 2.87-3.06
Ga 0.5000 0.8686 0.3686  1 Ga 2.60, 2 Sn 2.87
Sn 0.2153 0.2531 0.4684  2 Ga 2.87-3.06
Ga 0.8686 0.3686 0.5000  1 Ga 2.60, 2 Sn 2.87

Values from the calculation:
* magnetization: 0.00 μB per formula unit
* electronic total energy: -3.428 eV per atom
* SG: No. 204
* DOS(E_F): 0.5231 states/eV/atom

Record 6
Density functional theory data (PBE) for GaSn2Hg after structural relaxation.

Lattice parameters (Å, degrees): 3.2840 3.2840 10.2648 90.00 90.00 113.62
Last column: nearest neighbours and their distance in Å.
Element x y z (fractional)
Hg 0.5000 0.5000 0.7500  4 Sn 3.25, 6 Hg 3.28-3.60
Ga 0.5000 0.5000 0.2500  4 Sn 3.02, 4 Ga 3.28
Sn 0.0000 0.0000 0.4858  2 Ga 3.02, 2 Hg 3.25, 4 Sn 3.28
Sn 0.0000 0.0000 0.0142  2 Ga 3.02, 2 Hg 3.25, 4 Sn 3.28

Values from the calculation:
* magnetization: 0.00 μB per formula unit
* electronic total energy: -2.756 eV per atom
* SG: No. 65
* DOS(E_F): 0.4664 states/eV/atom

Record 7
Density functional theory data (PBE) for Ga6Sn2Hg after structural relaxation.

Lattice parameters (Å, degrees): 4.6756 7.1822 7.2689 119.61 84.78 90.00
Last column: nearest neighbours and their distance in Å.
Element x y z (fractional)
Hg 0.0000 0.0000 0.0000  8 Ga 2.94-3.05
Ga 0.7235 0.0004 0.3802  3 Ga 2.60-2.78, 1 Sn 2.81
Ga 0.7235 0.3798 0.3802  3 Ga 2.60-2.78, 1 Sn 2.81
Ga 0.2765 0.6202 0.6198  3 Ga 2.60-2.78, 1 Sn 2.81
Sn 0.0637 0.6243 0.2486  6 Ga 2.81-2.97
Ga 0.5000 0.7273 0.0000  2 Ga 2.78, 2 Sn 2.94, 2 Hg 3.05
Ga 0.2765 0.9996 0.6198  3 Ga 2.60-2.78, 1 Sn 2.81
Ga 0.5000 0.2727 0.0000  2 Ga 2.78, 2 Sn 2.94, 2 Hg 3.05
Sn 0.9363 0.3757 0.7514  6 Ga 2.81-2.97

Values from the calculation:
* magnetization: 0.00 μB per formula unit
* electronic total energy: -2.868 eV per atom
* SG: No. 12
* DOS(E_F): 0.2793 states/eV/atom

Record 8
Density functional theory data (PBE) for GaSnHg after structural relaxation.

Lattice parameters (Å, degrees): 4.7984 4.7984 4.7984 60.00 60.00 60.00
Last column: nearest neighbours and their distance in Å.
Element x y z (fractional)
Hg 0.0000 0.0000 0.0000  4 Ga 2.94
Ga 0.2500 0.2500 0.2500  4 Hg 2.94, 4 Sn 2.94
Sn 0.5000 0.5000 0.5000  4 Ga 2.94

Values from the calculation:
* magnetization: 0.00 μB per formula unit
* electronic total energy: -2.345 eV per atom
* SG: No. 216
* DOS(E_F): 0.9317 states/eV/atom